Record 1
Compound: SiH2RuPt
Source: Alexandria via LeMat-Bulk
Functional: PBE
Structure: optimized geometry

```
SiH2RuPt
1.0
3.3975 0.0000 0.0000
0.0000 5.0497 0.0000
0.0000 0.0000 3.3975
Ru H Si Pt
1 2 1 1
Cartesian
1.6988 2.5248 1.6988
1.6988 0.0000 0.0000
0.0000 0.0000 1.6988
0.0000 2.5248 0.0000
0.0000 0.0000 0.0000
```

* calculated total energy: -5.249 eV per atom

***

Record 2
Compound: KFeSi2
Source: Alexandria via LeMat-Bulk
Functional: PBE
Structure: optimized geometry

```
KFeSi2
1.0
4.6818 0.0692 0.0000
-0.0538 4.6820 0.0000
-2.3140 -2.3756 3.3055
Si K Fe
2 1 1
Cartesian
0.0000 0.0000 0.0000
-0.0269 2.3410 1.6527
2.3409 0.0346 1.6527
2.3140 2.3756 0.0000
```

* uncorrected formation energy: 977 meV/atom
* E above lowest polymorph: 3.73 eV/f.u.

***

Record 3
Compound: Li2Zn5Cu2Pt
Source: Alexandria via LeMat-Bulk
Functional: PBE
Structure: optimized geometry

```
Li2Zn5Cu2Pt
1.0
3.9049 0.0000 0.0000
0.0000 8.6456 0.0000
0.0000 0.0000 8.6456
Li Zn Cu Pt
4 10 4 2
Cartesian
0.0000 1.5260 2.7967
0.0000 7.1195 5.8488
0.0000 2.7967 7.1195
0.0000 5.8488 1.5260
1.9524 0.0000 4.3228
1.9524 2.5900 4.9523
1.9524 6.0555 3.6932
1.9524 4.9523 6.0555
1.9524 3.6932 2.5900
1.9524 1.7328 0.6296
1.9524 4.3228 0.0000
1.9524 6.9128 8.0160
1.9524 8.0160 1.7328
1.9524 0.6296 6.9128
0.0000 7.6235 3.3007
0.0000 1.0221 5.3449
0.0000 5.3449 7.6235
0.0000 3.3007 1.0221
0.0000 4.3228 4.3228
0.0000 0.0000 0.0000
```

* formation energy: -0.2203 eV/atom

***

Record 4
Compound: RuAuSe2
Source: Alexandria via LeMat-Bulk
Functional: PBE
Structure: optimized geometry

```
RuAuSe2
1.0
9.4659 -0.0668 -0.0392
8.9529 3.0744 -0.0392
8.9529 1.4620 2.7049
Au Se Ru
1 2 1
Cartesian
13.5107 2.2062 1.2964
6.3927 1.0439 0.6134
0.6887 0.1125 0.0661
20.4655 3.3419 1.9637
```

* uncorrected formation energy: 188 meV/atom

***

Record 5
Compound: CaZrP
Source: Alexandria via LeMat-Bulk
Functional: PBE
Structure: optimized geometry

```
CaZrP
1.0
-2.3529 -4.3554 -1.3058
2.5940 -0.0782 -4.4132
4.2068 -3.0301 2.5264
Zr Ca P
2 2 2
Cartesian
0.0000 0.0000 0.0000
0.1205 -2.2168 -2.8595
3.6369 -1.7245 -0.8014
0.6905 -3.5224 0.4683
2.7374 -4.9968 1.6976
1.5899 -0.2501 -2.0307
```

* formation energy: -0.7576 eV/atom

***

Record 6
Compound: Pr2Ni3Sb4Rh
Source: Alexandria via LeMat-Bulk
Functional: PBE
Structure: optimized geometry

```
Pr2Ni3Sb4Rh
1.0
4.5370 0.0000 0.0000
0.0000 4.5370 0.0000
0.0000 0.0000 10.0739
Ni Pr Sb Rh
3 2 4 1
Cartesian
0.0000 2.2685 1.2024
0.0000 0.0000 5.0370
2.2685 0.0000 8.8716
2.2685 0.0000 2.5775
0.0000 2.2685 7.4964
0.0000 2.2685 3.7151
2.2685 0.0000 6.3588
2.2685 2.2685 0.0000
0.0000 0.0000 0.0000
2.2685 2.2685 5.0370
```

* uncorrected formation energy: -680 meV/atom

***

Record 7
Compound: CaP4Pt
Source: Alexandria via LeMat-Bulk
Functional: PBE
Structure: optimized geometry

```
CaP4Pt
1.0
0.0000 3.8191 3.8191
3.8191 0.0000 3.8191
3.8191 3.8191 0.0000
Ca Pt P
1 1 4
Cartesian
0.0000 0.0000 0.0000
5.7286 5.7286 5.7286
4.6201 3.0180 4.6201
3.0180 3.0180 3.0180
4.6201 4.6201 3.0180
3.0180 4.6201 4.6201
```

* formation energy: 0.0728 eV/atom

***

Fermi-level density of states: 3.04 2.85 7.87 4.09 4.02 5.75 2.19 (states/eV/cell)